[1]
GGA-PBE YOsRh2, relaxed; DFT formation energy = -0.78 kcal/mol of atoms; energy above the lowest structure with this stoichiometry = 99 meV per atom; symmetry = I-4m2 (119)
1.0
-1.9574 -1.2283 -4.4338
0.9541 -4.7966 -1.0396
-1.9357 2.2486 4.0244
Rh Y Os
2 1 1
Direct
0.0000 0.0000 0.0000
0.2500 0.7500 0.5000
0.5000 0.5000 0.0000
0.7500 0.2500 0.5000

***

[2]
GGA-PBE Y2OsRh, relaxed; DFT formation energy = 1.67 kcal/mol of atoms; symmetry = F-43m (216)
1.0
-3.0115 0.2487 -3.7153
-3.7503 -2.9681 -0.2453
-4.4369 1.6912 0.6231
Y Os Rh
2 1 1
Direct
0.0000 0.0000 0.0000
0.7500 0.7500 0.7500
0.5000 0.5000 0.5000
0.2500 0.2500 0.2500

***

[3]
GGA-PBE YOsRh, relaxed; DFT formation energy = -3.10 kcal/mol of atoms; energy above the lowest structure with this stoichiometry = 364 meV per atom; symmetry = P1 (1)
1.0
4.3410 -0.0032 -0.0007
-2.1575 4.3806 0.0014
-0.0073 -2.1537 6.2125
Os Rh Y
2 2 2
Direct
0.4535 0.8620 0.5582
0.6938 0.3447 0.4533
0.2100 0.3771 0.2171
0.5482 0.0538 0.9780
0.1754 0.3078 0.7641
0.9102 0.7777 0.1890

***

[4]
GGA-PBE YOs4Rh, relaxed; DFT formation energy = 5.43 kcal/mol of atoms; symmetry = F-43m (216)
1.0
0.0000 3.7004 3.7004
3.7004 0.0000 3.7004
3.7004 3.7004 0.0000
Os Y Rh
4 1 1
Direct
0.3764 0.3764 0.3764
0.3764 0.8707 0.3764
0.3764 0.3764 0.8707
0.8707 0.3764 0.3764
0.0000 0.0000 0.0000
0.7500 0.7500 0.7500

***

[5]
GGA-PBE YOs2Rh, relaxed; DFT formation energy = 9.62 kcal/mol of atoms; energy above the lowest structure with this stoichiometry = 371 meV per atom; symmetry = R3m (160)
1.0
-1.0992 0.3784 9.4779
0.8369 -1.7238 9.3546
1.6883 1.0072 9.3443
Os Rh Y
2 1 1
Direct
0.9911 0.9911 0.9911
0.2512 0.2512 0.2512
0.5063 0.5063 0.5063
0.7514 0.7514 0.7514

***

[6]
GGA-PBE YOsRh2, relaxed; DFT formation energy = -2.57 kcal/mol of atoms; energy above the lowest structure with this stoichiometry = 22 meV per atom; symmetry = Cm (8)
1.0
4.9212 0.0086 0.0079
4.0479 2.7987 0.0079
0.9648 0.3020 4.9345
Y Os Rh
1 1 2
Direct
0.5011 0.5011 0.5182
0.2592 0.2592 0.1869
0.7429 0.7429 0.7600
0.9968 0.9968 0.0349

***

[7]
GGA-PBE YOsRh2, relaxed; DFT formation energy = 6.76 kcal/mol of atoms; energy above the lowest structure with this stoichiometry = 426 meV per atom; symmetry = R-3m (166)
1.0
-5.2330 -4.2909 6.5586
-5.7275 -6.0831 4.3592
-3.3866 -6.4293 6.0005
Rh Y Os
2 1 1
Direct
0.0070 0.0070 0.0070
0.4930 0.4930 0.4930
0.2500 0.2500 0.2500
0.7500 0.7500 0.7500

***

[8]
GGA-PBE YOs2Rh, relaxed; DFT formation energy = 8.49 kcal/mol of atoms; energy above the lowest structure with this stoichiometry = 322 meV per atom; symmetry = P4/mmm (123)
1.0
3.2428 0.0000 0.0000
0.0000 3.2428 0.0000
0.0000 0.0000 6.6496
Rh Os Y
1 2 1
Direct
0.5000 0.5000 0.2500
0.0000 0.0000 0.0475
0.0000 0.0000 0.4525
0.5000 0.5000 0.7500

***

[9]
GGA-PBE Y2Os2Rh, relaxed; DFT formation energy = -3.66 kcal/mol of atoms; symmetry = P4/mbm (127)
1.0
6.7913 0.0000 0.0000
0.0000 6.7913 0.0000
0.0000 0.0000 4.4210
Y Rh Os
4 2 4
Direct
0.1810 0.6810 0.5000
0.3190 0.1810 0.5000
0.6810 0.8190 0.5000
0.8190 0.3190 0.5000
0.5000 0.5000 0.0000
0.0000 0.0000 0.0000
0.6226 0.1226 0.0000
0.1226 0.3774 0.0000
0.3774 0.8774 0.0000
0.8774 0.6226 0.0000

***

[10]
GGA-PBE Y2OsRh, relaxed; DFT formation energy = -4.35 kcal/mol of atoms; symmetry = R3m (160)
1.0
6.9415 -0.9238 -0.5450
6.1794 3.2944 -0.5450
6.1794 1.1164 3.1470
Rh Os Y
1 1 2
Direct
0.7925 0.7925 0.7925
0.4578 0.4578 0.4578
0.0356 0.0356 0.0356
0.2141 0.2141 0.2141

***

[11]
GGA-PBE YOsRh, relaxed; DFT formation energy = 0.17 kcal/mol of atoms; energy above the lowest structure with this stoichiometry = 506 meV per atom; symmetry = Imm2 (44)
1.0
-2.6940 4.1657 -2.4722
-3.8408 -0.3118 -3.9842
1.7621 -1.4032 5.0644
Os Y Rh
1 1 1
Direct
0.9640 0.9640 0.0000
0.6645 0.6645 0.0000
0.3716 0.3716 0.0000

***

[12]
GGA-PBE Y2OsRh, relaxed; DFT formation energy = -3.48 kcal/mol of atoms; symmetry = I-4m2 (119)
1.0
5.7428 -0.0017 0.0000
2.8930 4.9609 0.0000
-4.3179 -2.4796 2.8613
Os Y Rh
1 2 1
Direct
0.5000 0.5000 0.0000
0.2500 0.7500 0.5000
0.0000 0.0000 0.0000
0.7500 0.2500 0.5000

***

[13]
GGA-PBE Y2OsRh, relaxed; DFT formation energy = 0.38 kcal/mol of atoms; symmetry = P4mm (99)
1.0
3.8340 0.0000 0.0000
0.0000 3.8340 0.0000
0.0000 0.0000 5.8860
Y Rh Os
2 1 1
Direct
0.5000 0.5000 0.3139
0.0000 0.0000 0.9382
0.5000 0.5000 0.7896
0.0000 0.0000 0.4583

***

[14]
GGA-PBE YOsRh, relaxed; DFT formation energy = 22.24 kcal/mol of atoms; energy above the lowest structure with this stoichiometry = 1463 meV per atom; symmetry = F-43m (216)
1.0
4.4858 0.0000 0.0000
2.2429 3.8848 0.0000
2.2429 1.2949 3.6626
Rh Y Os
1 1 1
Direct
0.5000 0.5000 0.5000
0.7500 0.7500 0.7500
0.0000 0.0000 0.0000